DFT (PBE) results for an optimized crystal structure of Zn2CoAu.

The magnetization is 2.08 μB/cell. As for the formation enthalpy at 0 K: 0.0 kcal/mol of atoms. For the total energy, the calculation gives -0.11878 hartree per atom. As for the volume: 14.38 Å³/atom. Its theoretical density is 11160 kg/m3.

The space group is Cm (No. 8) and the conventional cell measures 9.868, 2.778 and 4.629 Å, with angles of 90.00, 114.94 and 90.00 degrees. The distinct sites, in fractional coordinates, are Zn at (0.000, 0.000, 0.000), Zn at (0.239, 0.000, 0.592), Co at (0.003, 0.500, 0.522) and Au at (0.257, 0.500, 0.110).

DFT (PBE) results for an optimized crystal structure of ZnCoAu2.

The magnetization is 3.08 μB/cell. As for the formation enthalpy at 0 K: 1.7 kcal/mol of atoms. For the total energy, the calculation gives -0.13452 hartree per atom. As for the volume: 15.39 Å³/atom. Its theoretical density is 13980 kg/m3.

The space group is Imm2 (No. 44) and the conventional cell measures 2.929, 4.582 and 9.174 Å, with angles of 90.00, 90.00 and 90.00 degrees. The distinct sites, in fractional coordinates, are Zn at (0.000, 0.000, 0.000), Co at (0.000, 0.500, 0.274), Au at (0.000, 0.000, 0.526) and Au at (0.000, 0.500, 0.751).

DFT (PBE) results for an optimized crystal structure of Zn4CoAu3.

The magnetization is 0.00 μB/cell. As for the formation enthalpy at 0 K: -3.2 kcal/mol of atoms. For the total energy, the calculation gives -0.10630 hartree per atom. As for the volume: 15.12 Å³/atom. Its theoretical density is 12514 kg/m3.

The space group is P4/mmm (No. 123) and the conventional cell measures 3.019, 3.019 and 13.267 Å, with angles of 90.00, 90.00 and 90.00 degrees. The distinct sites, in fractional coordinates, are Zn at (0.000, 0.000, 0.101), Zn at (0.000, 0.000, 0.367), Co at (0.500, 0.500, 0.000), Au at (0.500, 0.500, 0.233) and Au at (0.500, 0.500, 0.500).